First-principles (PBE-GGA) data for a relaxed PmYMgSc crystal, as listed in Alexandria.

Computed properties:
Relative energy among the computed polymorphs = 0 kJ/mol of formula units
Energy relative to the elements = -0.012 eV/atom

Unit cell a=3.594 b=3.594 c=8.923 alpha=90.00 beta=90.00 gamma=90.00
Space group P4mm (No. 99)
Asymmetric unit:
Pm1 0.000 0.000 0.000 x1
Y1 0.000 0.000 0.501 x1
Mg1 0.500 0.500 0.746 x1
Sc1 0.500 0.500 0.253 x1